No. 1
Below is a geometry-optimized Y3Si2Ni3 structure, with properties calculated at the PBE level.

Geometry as CIF:
```
data_Y3Si2Ni3
_symmetry_space_group_name_H-M 'P 1'
_symmetry_Int_Tables_number 1
_cell_length_a 5.5516
_cell_length_b 7.3089
_cell_length_c 14.3849
_cell_angle_alpha 90.00
_cell_angle_beta 90.00
_cell_angle_gamma 90.00
loop_
_symmetry_equiv_pos_as_xyz
'x,y,z'
loop_
_atom_site_label
_atom_site_fract_x
_atom_site_fract_y
_atom_site_fract_z
Y1 0.1432 0.4739 0.3919
Y2 0.6432 0.0261 0.6081
Y3 0.8568 0.5261 0.8919
Y4 0.3568 0.9739 0.1081
Y5 0.8568 0.5261 0.6081
Y6 0.3568 0.9739 0.3919
Y7 0.1432 0.4739 0.1081
Y8 0.6432 0.0261 0.8919
Y9 0.6213 0.3396 0.2500
Y10 0.1213 0.1604 0.7500
Y11 0.3787 0.6604 0.7500
Y12 0.8787 0.8396 0.2500
Si1 0.8587 0.1302 0.4015
Si2 0.3587 0.3698 0.5985
Si3 0.1413 0.8698 0.9015
Si4 0.6413 0.6302 0.0985
Si5 0.1413 0.8698 0.5985
Si6 0.6413 0.6302 0.4015
Si7 0.8587 0.1302 0.0985
Si8 0.3587 0.3698 0.9015
Ni1 0.0836 0.1875 0.2500
Ni2 0.5836 0.3125 0.7500
Ni3 0.9164 0.8125 0.7500
Ni4 0.4164 0.6875 0.2500
Ni5 0.5959 0.3374 0.4639
Ni6 0.0959 0.1626 0.5361
Ni7 0.4041 0.6626 0.9639
Ni8 0.9041 0.8374 0.0361
Ni9 0.4041 0.6626 0.5361
Ni10 0.9041 0.8374 0.4639
Ni11 0.5959 0.3374 0.0361
Ni12 0.0959 0.1626 0.9639
```

Output
- DOS(E_F) (states/eV/atom) = 0.670
- formation energy (no corrections) (eV/f.u.) = -5.75
- V (Å³ per cell) = 584



No. 2
Below is a geometry-optimized Tb3TlFe structure, with properties calculated at the PBE level.

Geometry as CIF:
```
data_Tb3TlFe
_symmetry_space_group_name_H-M 'P 1'
_symmetry_Int_Tables_number 1
_cell_length_a 3.8374
_cell_length_b 8.6162
_cell_length_c 8.7720
_cell_angle_alpha 115.60
_cell_angle_beta 90.00
_cell_angle_gamma 90.00
loop_
_symmetry_equiv_pos_as_xyz
'x,y,z'
loop_
_atom_site_label
_atom_site_fract_x
_atom_site_fract_y
_atom_site_fract_z
Tb1 0.7500 0.6719 0.4321
Tb2 0.2500 0.3281 0.5679
Tb3 0.7500 0.3308 0.8930
Tb4 0.2500 0.9665 0.7811
Tb5 0.2500 0.6692 0.1070
Tb6 0.7500 0.0335 0.2189
Tl1 0.2500 0.3303 0.1966
Tl2 0.7500 0.6697 0.8034
Fe1 0.2500 0.9470 0.4336
Fe2 0.7500 0.0530 0.5664
```

Output
- energy of formation from the pure elements (eV/atom) = -0.16
- DOS(E_F) (states/eV/atom) = 0.973
- energy relative to the lowest polymorph listed for this composition (meV/atom) = 0
- V (Å³ per cell) = 262



No. 3
Below is a geometry-optimized ScTi2CuO structure, with properties calculated at the PBE level.

Geometry as CIF:
```
data_ScTi2CuO
_symmetry_space_group_name_H-M 'P 1'
_symmetry_Int_Tables_number 1
_cell_length_a 4.0770
_cell_length_b 4.0770
_cell_length_c 4.2879
_cell_angle_alpha 90.00
_cell_angle_beta 90.00
_cell_angle_gamma 90.00
loop_
_symmetry_equiv_pos_as_xyz
'x,y,z'
loop_
_atom_site_label
_atom_site_fract_x
_atom_site_fract_y
_atom_site_fract_z
Sc1 0.0000 0.0000 0.5000
O1 0.0000 0.0000 0.0000
Cu1 0.5000 0.5000 0.5000
Ti1 0.0000 0.5000 0.0000
Ti2 0.5000 0.0000 0.0000
```

Output
- DOS(E_F) (states/eV/atom) = 0.641
- formation energy (no corrections) (eV/f.u.) = -5.68
- V (Å³ per cell) = 71



No. 4
Below is a geometry-optimized LiSmAlGa structure, with properties calculated at the PBE level.

Geometry as CIF:
```
data_LiSmAlGa
_symmetry_space_group_name_H-M 'P 1'
_symmetry_Int_Tables_number 1
_cell_length_a 4.8074
_cell_length_b 4.8074
_cell_length_c 4.8074
_cell_angle_alpha 60.00
_cell_angle_beta 60.00
_cell_angle_gamma 60.00
loop_
_symmetry_equiv_pos_as_xyz
'x,y,z'
loop_
_atom_site_label
_atom_site_fract_x
_atom_site_fract_y
_atom_site_fract_z
Li1 0.2500 0.2500 0.2500
Ga1 0.7500 0.7500 0.7500
Sm1 0.0000 0.0000 0.0000
Al1 0.5000 0.5000 0.5000
```

Output
- energy of formation from the pure elements (eV/atom) = -0.29
- DOS(E_F) (states/eV/atom) = 0.521
- V (Å³ per cell) = 79



No. 5
Below is a geometry-optimized Te2PtAuI structure, with properties calculated at the PBE level.

Geometry as CIF:
```
data_Te2PtAuI
_symmetry_space_group_name_H-M 'P 1'
_symmetry_Int_Tables_number 1
_cell_length_a 5.3184
_cell_length_b 5.3184
_cell_length_c 5.4688
_cell_angle_alpha 90.00
_cell_angle_beta 90.00
_cell_angle_gamma 90.00
loop_
_symmetry_equiv_pos_as_xyz
'x,y,z'
loop_
_atom_site_label
_atom_site_fract_x
_atom_site_fract_y
_atom_site_fract_z
I1 0.0000 0.0000 0.5000
Te1 0.0000 0.5000 0.0000
Te2 0.5000 0.0000 0.0000
Au1 0.5000 0.5000 0.5000
Pt1 0.0000 0.0000 0.0000
```

Output
- DOS(E_F) (states/eV/atom) = 1.521
- energy relative to the lowest polymorph listed for this composition (meV/atom) = 0
- formation energy (no corrections) (eV/f.u.) = 2.89
- V (Å³ per cell) = 155



No. 6
Below is a geometry-optimized KNaAl2 structure, with properties calculated at the PBE level.

Geometry as CIF:
```
data_KNaAl2
_symmetry_space_group_name_H-M 'P 1'
_symmetry_Int_Tables_number 1
_cell_length_a 4.9255
_cell_length_b 4.9255
_cell_length_c 11.7576
_cell_angle_alpha 77.91
_cell_angle_beta 77.91
_cell_angle_gamma 90.00
loop_
_symmetry_equiv_pos_as_xyz
'x,y,z'
loop_
_atom_site_label
_atom_site_fract_x
_atom_site_fract_y
_atom_site_fract_z
Na1 0.5000 0.5000 0.0000
Na2 0.2500 0.7500 0.5000
K1 0.0000 0.0000 0.0000
K2 0.7500 0.2500 0.5000
Al1 0.4628 0.1250 0.2500
Al2 0.2872 0.6250 0.2500
Al3 0.3750 0.5372 0.7500
Al4 0.8750 0.7128 0.7500
```

Output
- energy of formation from the pure elements (eV/atom) = 0.39
- DOS(E_F) (states/eV/atom) = 0.345
- energy relative to the lowest polymorph listed for this composition (meV/atom) = 0
- V (Å³ per cell) = 272



No. 7
Below is a geometry-optimized AsIr2W structure, with properties calculated at the PBE level.

Geometry as CIF:
```
data_AsIr2W
_symmetry_space_group_name_H-M 'P 1'
_symmetry_Int_Tables_number 1
_cell_length_a 2.9334
_cell_length_b 2.9334
_cell_length_c 7.0596
_cell_angle_alpha 90.00
_cell_angle_beta 90.00
_cell_angle_gamma 90.00
loop_
_symmetry_equiv_pos_as_xyz
'x,y,z'
loop_
_atom_site_label
_atom_site_fract_x
_atom_site_fract_y
_atom_site_fract_z
As1 0.5000 0.5000 0.7575
Ir1 0.0000 0.0000 0.9691
Ir2 0.5000 0.5000 0.2685
W1 0.0000 0.0000 0.5049
```

Output
- energy of formation from the pure elements (eV/atom) = 0.09
- DOS(E_F) (states/eV/atom) = 0.706
- V (Å³ per cell) = 61



No. 8
Below is a geometry-optimized La2Y8Tm3 structure, with properties calculated at the PBE level.

Geometry as CIF:
```
data_La2Y8Tm3
_symmetry_space_group_name_H-M 'P 1'
_symmetry_Int_Tables_number 1
_cell_length_a 5.5412
_cell_length_b 7.6277
_cell_length_c 11.2152
_cell_angle_alpha 109.90
_cell_angle_beta 90.01
_cell_angle_gamma 90.00
loop_
_symmetry_equiv_pos_as_xyz
'x,y,z'
loop_
_atom_site_label
_atom_site_fract_x
_atom_site_fract_y
_atom_site_fract_z
La1 0.4997 0.2402 0.4800
La2 0.5003 0.7598 0.5200
Y1 0.0001 0.6599 0.3194
Y2 0.9999 0.3401 0.6806
Y3 0.9999 0.1255 0.2511
Y4 0.0001 0.8745 0.7489
Y5 0.5000 0.6091 0.7926
Y6 0.5000 0.1830 0.7925
Y7 0.5000 0.8170 0.2075
Y8 0.5000 0.3909 0.2074
Tm1 0.5000 0.0000 0.0000
Tm2 0.0000 0.2853 0.0001
Tm3 0.0000 0.7147 0.9999
```

Output
- energy of formation from the pure elements (eV/atom) = 0.24
- DOS(E_F) (states/eV/atom) = 1.855
- V (Å³ per cell) = 446



Question: The highest DOS(E_F) belongs to which entry?
Answer: La2Y8Tm3